Er5Th4Sc2 | Alexandria | PBE-GGA | relaxed; V = 32.4 Å³ per atom; space-group type = No. 71; energy above the most stable polymorph in this dataset = 267 meV per atom
1.0
-1.717 5.578 9.304
1.717 -5.578 9.304
1.717 5.578 -9.304
Er Th Sc
5 4 2
Direct
0.000 0.000 0.000
0.105 0.322 0.782
0.460 0.678 0.782
0.540 0.322 0.218
0.895 0.678 0.218
0.268 0.500 0.768
0.410 0.910 0.500
0.590 0.090 0.500
0.732 0.500 0.232
0.225 0.725 0.500
0.775 0.275 0.500

---

ErTiNiIr | Alexandria | PBE-GGA | relaxed; V = 16.8 Å³ per atom; E = -7.3066 eV/atom; space-group type = No. 216
1.0
6.458 0.000 0.000
0.000 6.458 0.000
0.000 0.000 6.458
Er Ti Ni Ir
4 4 4 4
Direct
0.000 0.000 0.000
0.000 0.500 0.500
0.500 0.000 0.500
0.500 0.500 0.000
0.000 0.000 0.500
0.000 0.500 0.000
0.500 0.000 0.000
0.500 0.500 0.500
0.250 0.250 0.250
0.250 0.750 0.750
0.750 0.250 0.750
0.750 0.750 0.250
0.250 0.250 0.750
0.250 0.750 0.250
0.750 0.250 0.250
0.750 0.750 0.750

---

BHIr2 | Alexandria | PBE-GGA | relaxed; V = 9.8 Å³ per atom; space-group type = No. 225; energy above the most stable polymorph in this dataset = 294 meV per atom
1.0
5.396 0.000 0.000
0.000 5.396 0.000
0.000 0.000 5.396
B H Ir
4 4 8
Direct
0.000 0.000 0.000
0.000 0.500 0.500
0.500 0.000 0.500
0.500 0.500 0.000
0.000 0.000 0.500
0.000 0.500 0.000
0.500 0.000 0.000
0.500 0.500 0.500
0.250 0.250 0.250
0.250 0.250 0.750
0.250 0.750 0.250
0.250 0.750 0.750
0.750 0.250 0.250
0.750 0.250 0.750
0.750 0.750 0.250
0.750 0.750 0.750